Entry from the Alexandria database: a PBEsol-optimized structure of Ti2MnFe (SCAN).

**DFT formation energy**: -316 meV/atom
**Uncorrected energy**: -69.7 eV/f.u.

```
4
Lattice="-2.390 0.034 3.376 0.724 -2.672 3.074 1.525 1.353 3.600" Properties=species:S:1:pos:R:3 pbc="T T T"
Mn 0.000 0.000 0.000
Fe -0.071 -0.642 5.025
Ti -0.035 -0.321 2.513
Ti -0.106 -0.964 7.538
```

=====

Entry from the Alexandria database: a PBEsol-optimized structure of Ti2MnZnFe (SCAN).

**DFT formation energy**: 349 meV/atom
**Uncorrected energy**: -80.2 eV/f.u.

```
5
Lattice="4.287 0.000 0.000 0.000 4.287 0.000 0.000 0.000 4.536" Properties=species:S:1:pos:R:3 pbc="T T T"
Zn 0.000 0.000 2.268
Mn 2.143 2.143 2.268
Fe 0.000 0.000 0.000
Ti 0.000 2.143 0.000
Ti 2.143 0.000 0.000
```

=====

Entry from the Alexandria database: a PBEsol-optimized structure of MnTlFe2 (SCAN).

**DFT formation energy**: 343 meV/atom
**Uncorrected energy**: -125.5 eV/f.u.

```
4
Lattice="-0.509 -0.510 3.085 2.706 -3.239 -0.089 1.982 4.422 -0.570" Properties=species:S:1:pos:R:3 pbc="T T T"
Fe 2.734 -0.522 1.991
Fe 1.444 1.194 0.435
Mn -0.254 -0.255 1.543
Tl 1.353 -1.620 -0.045
```

=====

Entry from the Alexandria database: a PBEsol-optimized structure of MnTlFe2 (SCAN).

**DFT formation energy**: 375 meV/atom
**Uncorrected energy**: -125.4 eV/f.u.

```
4
Lattice="-0.341 1.746 2.502 1.253 -2.215 1.716 5.250 2.287 -0.881" Properties=species:S:1:pos:R:3 pbc="T T T"
Fe 4.220 1.838 -0.708
Fe 1.029 0.448 -0.173
Mn 0.456 -0.235 2.109
Tl 3.081 0.909 1.668
```

=====

Entry from the Alexandria database: a PBEsol-optimized structure of ZrMnTl2Fe (SCAN).

**DFT formation energy**: 1252 meV/atom
**Uncorrected energy**: -205.5 eV/f.u.

```
5
Lattice="-0.166 -0.230 -4.516 0.026 -5.495 0.279 -5.499 -0.015 0.203" Properties=species:S:1:pos:R:3 pbc="T T T"
Tl -2.749 -0.008 0.101
Tl 0.013 -2.748 0.140
Mn -0.083 -0.115 -2.258
Fe -2.820 -2.871 -2.017
Zr 0.000 0.000 0.000
```

=====

Entry from the Alexandria database: a PBEsol-optimized structure of MnV2Fe (SCAN).

**DFT formation energy**: -202 meV/atom
**Uncorrected energy**: -72.2 eV/f.u.

```
4
Lattice="4.000 0.000 0.000 2.000 3.464 0.000 2.000 1.155 3.266" Properties=species:S:1:pos:R:3 pbc="T T T"
Mn 0.000 0.000 0.000
Fe 4.000 2.309 1.633
V 2.000 1.155 0.816
V 5.999 3.464 2.449
```

=====

Entry from the Alexandria database: a PBEsol-optimized structure of Mn2FeW (SCAN).

**DFT formation energy**: 603 meV/atom
**Uncorrected energy**: -121.9 eV/f.u.

```
4
Lattice="-1.627 0.910 1.793 0.726 0.085 2.481 2.864 8.353 0.224" Properties=species:S:1:pos:R:3 pbc="T T T"
Fe 0.000 0.000 0.000
Mn 1.866 6.915 1.913
Mn 0.098 2.433 2.584
W 0.982 4.674 2.249
```

=====

Entry from the Alexandria database: a PBEsol-optimized structure of Mn2FeW (SCAN).

**DFT formation energy**: 3 meV/atom
**Uncorrected energy**: -124.3 eV/f.u.

```
4
Lattice="4.078 0.000 0.000 2.039 3.532 0.000 2.039 1.177 3.330" Properties=species:S:1:pos:R:3 pbc="T T T"
Mn 0.000 0.000 0.000
Mn 2.039 1.177 0.833
Fe 4.078 2.355 1.665
W 6.118 3.532 2.498
```

=====

Entry from the Alexandria database: a PBEsol-optimized structure of MnFeW2 (SCAN).

**DFT formation energy**: 114 meV/atom
**Uncorrected energy**: -175.3 eV/f.u.

```
4
Lattice="2.620 0.000 0.012 0.000 4.255 0.000 -0.781 0.000 4.802" Properties=species:S:1:pos:R:3 pbc="T T T"
Fe 0.863 0.000 2.389
Mn 0.126 2.128 3.627
W 1.847 0.000 4.723
W 1.762 2.128 1.296
```

=====

Entry from the Alexandria database: a PBEsol-optimized structure of MnFeW2 (SCAN).

**DFT formation energy**: 161 meV/atom
**Uncorrected energy**: -175.1 eV/f.u.

```
4
Lattice="-3.069 2.905 -0.212 -3.649 -0.623 2.050 -0.942 2.334 3.401" Properties=species:S:1:pos:R:3 pbc="T T T"
Fe -3.829 2.308 2.619
Mn -1.915 1.154 1.310
W 0.000 0.000 0.000
W -5.744 3.462 3.929
```

=====

Entry from the Alexandria database: a PBEsol-optimized structure of Mn2FeW (SCAN).

**DFT formation energy**: 5 meV/atom
**Uncorrected energy**: -124.3 eV/f.u.

```
4
Lattice="-1.193 1.821 2.095 1.362 -2.385 2.849 3.415 2.097 0.122" Properties=species:S:1:pos:R:3 pbc="T T T"
Mn 0.000 0.000 0.000
Mn 1.111 1.959 1.109
Fe 2.389 -0.144 1.486
W 0.085 -0.282 2.472
```

=====

Entry from the Alexandria database: a PBEsol-optimized structure of Mn2FeW (SCAN).

**DFT formation energy**: 138 meV/atom
**Uncorrected energy**: -123.8 eV/f.u.

```
4
Lattice="-1.971 -1.447 0.744 1.575 -1.988 0.315 1.137 1.991 6.888" Properties=species:S:1:pos:R:3 pbc="T T T"
Fe 0.054 -1.277 2.052
Mn 0.004 0.007 0.024
Mn 0.686 -0.169 5.885
W 0.566 0.991 3.429
```